Computed, not measured: HfMgMnZn2 after structural relaxation at the PBE level of DFT.

Results
N(E_F), states/eV/f.u.: 4.0
SG: P4/mmm (123)
Calculated total energy, eV for the cell shown: -18.8
V, Å³/cell: 96.53

```
HfMgMnZn2
1.0
4.5568 0.0000 0.0000
0.0000 4.5568 0.0000
0.0000 0.0000 4.6490
Hf Mg Mn Zn
1 1 1 2
Direct
0.0000 0.0000 0.0000 Hf
0.5000 0.5000 0.5000 Mg
0.5000 0.5000 0.0000 Mn
0.0000 0.5000 0.5000 Zn
0.5000 0.0000 0.5000 Zn
```